# 1
MnTl2CoCl6 after structural relaxation, computed with GGA-PBE.

The structure belongs to space group P-1 (No. 2); the cell edges are 6.967, 6.989 and 6.996 Å and the angles 119.94°, 119.54° and 90.04°. The distinct sites, in fractional coordinates, are Mn at (0.000, 0.000, 0.000), Tl at (0.250, 0.750, 0.500), Co at (0.500, 0.500, 0.000), Cl at (0.228, 0.723, 0.991), Cl at (0.250, 0.243, 0.505) and Cl at (0.279, 0.236, 0.010).

For the total moment, the calculation gives 2.000 Bohr magnetons per cell. As for the uncorrected formation energy: -884 meV/atom. As for the uncorrected energy: -4.093 eV per atom.

=====

# 2
Al2GeSbS after structural relaxation, computed with GGA-PBE.

The structure belongs to space group P4/mmm (No. 123); the cell edges are 4.931, 4.931 and 5.356 Å and the angles 90.00°, 90.00° and 90.00°. The distinct sites, in fractional coordinates, are Al at (0.000, 0.500, 0.000), Ge at (0.000, 0.000, 0.000), Sb at (0.000, 0.000, 0.500) and S at (0.500, 0.500, 0.500).

For the total moment, the calculation gives 0.000 Bohr magnetons per cell. As for the uncorrected formation energy: 661 meV/atom. As for the uncorrected energy: -3.409 eV per atom.

=====

# 3
Zn3IrN after structural relaxation, computed with GGA-PBE.

The structure belongs to space group Pm-3m (No. 221); the cell edges are 4.058, 4.058 and 4.058 Å and the angles 90.00°, 90.00° and 90.00°. The distinct sites, in fractional coordinates, are Zn at (0.000, 0.000, 0.500), Ir at (0.500, 0.500, 0.500) and N at (0.000, 0.000, 0.000).

For the total moment, the calculation gives 0.000 Bohr magnetons per cell. Its polymorph energy (0 for the lowest one) is 0.0 meV/atom. As for the uncorrected formation energy: 376 meV/atom. As for the uncorrected energy: -3.826 eV per atom.

=====

# 4
ReNiN2 after structural relaxation, computed with GGA-PBE.

The structure belongs to space group R-3m (No. 166, hexagonal axes); the cell edges are 2.8373, 2.8373 and 18.0792 Å and the angles 90.00°, 90.00° and 120.00°. The distinct sites, in fractional coordinates, are Re at (0.0000, 0.0000, 0.0000), Ni at (0.0000, 0.0000, 0.5000) and N at (0.0000, 0.0000, 0.1061).

For the total moment, the calculation gives 0.000 Bohr magnetons per cell. Its polymorph energy (0 for the lowest one) is 416.8 meV/atom. As for the uncorrected formation energy: 594 meV/atom. As for the uncorrected energy: -8.126 eV per atom.

=====

# 5
ScRuAu2 after structural relaxation, computed with GGA-PBE.

The structure belongs to space group I-4m2 (No. 119); the cell edges are 4.092, 4.092 and 8.241 Å and the angles 90.00°, 90.00° and 90.00°. The distinct sites, in fractional coordinates, are Sc at (0.000, 0.000, 0.000), Ru at (0.000, 0.500, 0.750), Au at (0.000, 0.000, 0.500) and Au at (0.000, 0.500, 0.250).

For the total moment, the calculation gives 0.778 Bohr magnetons per cell. The energy relative to the elements comes out at -311.8 meV per atom. As for the uncorrected energy: -5.852 eV per atom.

=====

# 6
Tl15InSn4 after structural relaxation, computed with GGA-PBE.

The structure belongs to space group P4/mmm (No. 123); the cell edges are 5.322, 5.322 and 21.077 Å and the angles 90.00°, 90.00° and 90.00°. The distinct sites, in fractional coordinates, are Tl at (0.000, 0.000, 0.000), Tl at (0.000, 0.000, 0.198), Tl at (0.000, 0.000, 0.399), Tl at (0.000, 0.500, 0.099), Tl at (0.000, 0.500, 0.298), Tl at (0.000, 0.500, 0.500), In at (0.500, 0.500, 0.000), Sn at (0.500, 0.500, 0.197) and Sn at (0.500, 0.500, 0.399).

For the total moment, the calculation gives 0.000 Bohr magnetons per cell. The energy relative to the elements comes out at 22.6 meV per atom. As for the uncorrected energy: -2.690 eV per atom.

=====

- Look up the total moment of the third one.
  0.000 Bohr magnetons per cell

=====

- Look up the uncorrected energy of the third one.
  -3.826 eV per atom

=====

- Which of these has the lowest uncorrected energy?
  ReNiN2